No. 1
Tm6Ge2PSe3 | GGA-PBE | optimized geometry Values from VASP.

Values from the calculation:
**E_tot**: -5.82 eV/atom
**Space-group type**: C2/m

```
&SYSTEM
  ibrav = 0, nat = 12, ntyp = 4
/
ATOMIC_SPECIES
Tm 168.93 Tm.upf
Ge 72.64 Ge.upf
P 30.97 P.upf
Se 78.96 Se.upf
CELL_PARAMETERS angstrom
4.045 0.000 0.000
0.000 8.114 0.276
-2.022 -2.354 8.514
ATOMIC_POSITIONS angstrom
Tm 0.000 5.787 6.010
Tm 2.022 3.865 3.040
Tm 2.022 -0.027 2.781
Tm 0.000 1.912 0.135
Tm 2.022 3.848 8.655
Tm 0.000 1.895 5.750
Ge 2.022 3.853 5.866
Ge 0.000 1.907 2.924
P 2.022 0.000 0.000
Se 2.022 4.057 0.138
Se 2.022 -0.227 5.742
Se 0.000 5.986 3.049
```

No. 2
Tm4GeP2Se | GGA-PBE | optimized geometry Values from VASP.

Values from the calculation:
**E_tot**: -6.08 eV/atom
**Space-group type**: I-4m2

```
&SYSTEM
  ibrav = 0, nat = 8, ntyp = 4
/
ATOMIC_SPECIES
Tm 168.93 Tm.upf
Ge 72.64 Ge.upf
P 30.97 P.upf
Se 78.96 Se.upf
CELL_PARAMETERS angstrom
5.662 0.003 0.000
-0.003 5.662 0.000
-2.829 -2.832 5.662
ATOMIC_POSITIONS angstrom
Tm -0.001 2.831 0.046
Tm -0.001 2.831 5.616
Tm 2.829 2.832 2.911
Tm 0.000 0.000 2.751
Ge 2.831 0.001 2.831
P -0.001 2.831 2.831
P 0.000 0.000 0.000
Se 2.829 2.832 0.000
```

No. 3
Tm6Ge3P2Se | GGA-PBE | optimized geometry Values from VASP.

Values from the calculation:
**E_tot**: -5.78 eV/atom
**Space-group type**: C2/m

```
&SYSTEM
  ibrav = 0, nat = 12, ntyp = 4
/
ATOMIC_SPECIES
Tm 168.93 Tm.upf
Ge 72.64 Ge.upf
P 30.97 P.upf
Se 78.96 Se.upf
CELL_PARAMETERS angstrom
3.923 0.000 0.000
0.000 8.283 0.049
-1.962 -2.644 8.531
ATOMIC_POSITIONS angstrom
Tm 0.000 5.744 5.709
Tm 1.962 3.845 2.934
Tm 1.962 -0.105 2.871
Tm 0.000 2.089 0.085
Tm 1.962 3.551 8.495
Tm 0.000 1.795 5.646
Ge 1.962 4.142 0.025
Ge 1.962 -0.376 5.736
Ge 0.000 6.016 2.844
P 1.962 3.773 5.725
P 0.000 1.866 2.855
Se 1.962 0.000 0.000
```

Q: E_tot of number 2 (Tm4GeP2Se)?
A: -6.08 eV/atom

Repeat the third record exactly.
Tm6Ge3P2Se | GGA-PBE | optimized geometry Values from VASP.

Values from the calculation:
**E_tot**: -5.78 eV/atom
**Space-group type**: C2/m

```
&SYSTEM
  ibrav = 0, nat = 12, ntyp = 4
/
ATOMIC_SPECIES
Tm 168.93 Tm.upf
Ge 72.64 Ge.upf
P 30.97 P.upf
Se 78.96 Se.upf
CELL_PARAMETERS angstrom
3.923 0.000 0.000
0.000 8.283 0.049
-1.962 -2.644 8.531
ATOMIC_POSITIONS angstrom
Tm 0.000 5.744 5.709
Tm 1.962 3.845 2.934
Tm 1.962 -0.105 2.871
Tm 0.000 2.089 0.085
Tm 1.962 3.551 8.495
Tm 0.000 1.795 5.646
Ge 1.962 4.142 0.025
Ge 1.962 -0.376 5.736
Ge 0.000 6.016 2.844
P 1.962 3.773 5.725
P 0.000 1.866 2.855
Se 1.962 0.000 0.000
```

Q: Which value of E_tot does entry 2 give?
A: -6.08 eV/atom

Q: E_tot of number 1 (Tm6Ge2PSe3)?
A: -5.82 eV/atom